Entry A
# TaMnPb2

Crystalline TaMnPb2 at its relaxed geometry (PBE, the Alexandria database).

Theoretical density, kg/m³: 12600
Space group: P2/m (10)

```
4
Lattice="4.077 0.000 0.000 0.000 3.207 0.378 0.000 1.319 6.710" Properties=species:S:1:pos:R:3 pbc="T T T"
Mn 2.039 3.394 5.316
Pb 0.000 4.391 7.048
Pb 0.000 2.397 3.584
Ta 2.039 1.131 1.772
```

---

Entry B
# TaMnPb2

Crystalline TaMnPb2 at its relaxed geometry (PBE, the Alexandria database).

Theoretical density, kg/m³: 12120
Space group: F-43m (216)

```
4
Lattice="-4.383 -0.650 2.346 -0.420 -3.446 3.617 -0.523 1.430 4.777" Properties=species:S:1:pos:R:3 pbc="T T T"
Mn -2.663 -1.333 5.370
Pb 0.000 0.000 0.000
Pb -1.331 -0.667 2.685
Ta -3.994 -2.000 8.054
```

---

Entry C
# TaMnPb2

Crystalline TaMnPb2 at its relaxed geometry (PBE, the Alexandria database).

Theoretical density, kg/m³: 12433
Space group: R-3m (166)

```
4
Lattice="-5.654 1.865 -7.645 -3.985 -0.667 -8.807 -6.622 -1.163 -6.977" Properties=species:S:1:pos:R:3 pbc="T T T"
Mn -12.195 0.026 -17.572
Pb -0.029 0.000 -0.042
Pb -8.101 0.017 -11.672
Ta -4.065 0.009 -5.857
```

---

Which of them is most stable? Easy: entry C.

---

Entry A
# MnTcPb2

Crystalline MnTcPb2 at its relaxed geometry (PBE, the Alexandria database).

Theoretical density, kg/m³: 10777
Space group: P4mm (99)

```
4
Lattice="-2.086 2.353 0.567 -2.355 -1.802 -1.190 -1.491 -3.200 7.800" Properties=species:S:1:pos:R:3 pbc="T T T"
Mn -3.259 -1.951 5.115
Pb -1.385 -2.973 7.246
Pb -2.692 -0.735 2.151
Tc -0.834 -1.790 4.364
```

---

Entry B
# MnTcPb2

Crystalline MnTcPb2 at its relaxed geometry (PBE, the Alexandria database).

Theoretical density, kg/m³: 10667
Space group: I-42d (122)

```
8
Lattice="-4.427 -6.016 1.264 2.855 -0.633 6.989 -2.998 -1.472 5.198" Properties=species:S:1:pos:R:3 pbc="T T T"
Pb -3.170 -4.222 2.966
Pb 0.492 -1.501 5.822
Pb -2.845 -3.596 6.976
Pb -3.617 -6.924 11.136
Mn -0.786 -3.325 4.126
Mn -0.464 -2.715 8.156
Tc 0.000 0.000 0.000
Tc -4.105 -5.406 5.294
```

---

Which of them is most stable? Easy: entry A.

---

Entry A
# MnTcPb2

Crystalline MnTcPb2 at its relaxed geometry (PBE, the Alexandria database).

Theoretical density, kg/m³: 11767
Space group: P2/m (10)

```
4
Lattice="-2.846 -1.512 1.290 1.218 -3.108 -0.955 4.169 -3.599 4.979" Properties=species:S:1:pos:R:3 pbc="T T T"
Mn 2.618 -5.786 3.663
Pb 1.240 -3.094 -0.889
Pb 2.672 -3.367 1.947
Tc -0.076 -2.433 1.651
```

---

Entry B
# MnTcPb2

Crystalline MnTcPb2 at its relaxed geometry (PBE, the Alexandria database).

Theoretical density, kg/m³: 11405
Space group: Pmmm (47)

```
4
Lattice="-1.516 2.984 -1.202 -2.211 0.790 4.746 3.520 2.295 1.258" Properties=species:S:1:pos:R:3 pbc="T T T"
Mn 0.654 1.542 3.002
Pb 0.000 0.000 0.000
Pb -1.863 1.887 1.772
Tc 1.002 2.639 0.028
```

---

Which of them is most stable? Easy: entry A.

---

Entry A
# MnTcPb2

Crystalline MnTcPb2 at its relaxed geometry (PBE, the Alexandria database).

Theoretical density, kg/m³: 11423
Space group: Amm2 (38)

```
4
Lattice="-3.699 1.510 1.425 1.048 -0.720 3.485 2.619 4.431 2.104" Properties=species:S:1:pos:R:3 pbc="T T T"
Mn 0.715 3.698 4.253
Pb 3.452 3.413 5.345
Pb -0.726 1.961 2.351
Tc 2.028 1.716 3.447
```

---

Entry B
# MnTcPb2

Crystalline MnTcPb2 at its relaxed geometry (PBE, the Alexandria database).

Theoretical density, kg/m³: 11393
Space group: C2/m (12)

```
4
Lattice="-0.836 4.737 0.570 -0.491 3.189 3.613 5.090 1.806 0.341" Properties=species:S:1:pos:R:3 pbc="T T T"
Mn 0.941 2.433 1.131
Pb 5.026 1.854 0.372
Pb 1.945 4.818 2.230
Tc 2.822 7.299 3.393
```

---

Entry C
# MnTcPb2

Crystalline MnTcPb2 at its relaxed geometry (PBE, the Alexandria database).

Theoretical density, kg/m³: 11681
Space group: I-4m2 (119)

```
4
Lattice="5.578 0.014 0.000 2.526 4.973 0.000 -4.052 -2.493 2.911" Properties=species:S:1:pos:R:3 pbc="T T T"
Mn 2.789 0.007 1.456
Pb 0.000 0.000 0.000
Pb 1.263 2.486 1.456
Tc 4.052 2.493 0.000
```

---

Which of them is most stable? Easy: entry A.

---

Entry A
# TiMnPb2

Crystalline TiMnPb2 at its relaxed geometry (PBE, the Alexandria database).

Theoretical density, kg/m³: 9653
Space group: I-42d (122)

```
8
Lattice="-0.932 -3.071 -2.799 -0.520 -2.760 3.201 -10.226 -0.513 0.729" Properties=species:S:1:pos:R:3 pbc="T T T"
Pb -3.209 -2.409 -1.182
Pb -2.993 -2.220 1.849
Pb -8.211 -2.556 0.680
Pb -8.943 -5.501 0.916
Mn 0.000 0.000 0.000
Mn -5.942 -3.250 -0.934
Ti -0.726 -2.915 0.201
Ti -5.736 -3.094 2.066
```

---

Entry B
# TiMnPb2

Crystalline TiMnPb2 at its relaxed geometry (PBE, the Alexandria database).

Theoretical density, kg/m³: 11101
Space group: Fm-3m (225)

```
4
Lattice="0.000 3.382 3.382 3.382 0.000 3.382 3.382 3.382 0.000" Properties=species:S:1:pos:R:3 pbc="T T T"
Pb 1.691 1.691 1.691
Pb 5.073 5.073 5.073
Mn 3.382 3.382 3.382
Ti 0.000 0.000 0.000
```

---

Which of them is most stable? Easy: entry B.

---

Entry A
# TiMn2Pb2

Crystalline TiMn2Pb2 at its relaxed geometry (PBE, the Alexandria database).

Theoretical density, kg/m³: 9670
Space group: P4/mbm (127)

```
10
Lattice="-6.213 2.747 0.323 -1.462 -2.587 -6.118 -1.467 -3.534 1.845" Properties=species:S:1:pos:R:3 pbc="T T T"
Pb -2.802 -3.033 -3.146
Pb -6.130 -2.051 -3.911
Pb -6.340 -0.341 -0.804
Pb -3.012 -1.323 -0.038
Mn -3.543 -1.235 -5.182
Mn -6.309 0.741 -3.597
Mn -4.132 1.395 -0.613
Mn -1.366 -0.581 -2.198
Ti 0.000 0.000 0.000
Ti -3.837 0.080 -2.897
```

---

Entry B
# TiMn2Pb2

Crystalline TiMn2Pb2 at its relaxed geometry (PBE, the Alexandria database).

Theoretical density, kg/m³: 8894
Space group: I4/mmm (139)

```
5
Lattice="-3.487 2.574 3.095 -3.791 -3.476 -1.380 -2.682 -2.648 3.763" Properties=species:S:1:pos:R:3 pbc="T T T"
Pb -4.904 -0.263 3.858
Pb -5.056 -3.288 1.620
Mn -3.321 -1.180 1.821
Mn -6.638 -2.371 3.657
Ti 0.000 0.000 0.000
```

---

Which of them is most stable? Easy: entry A.

---

Entry A
# MnTl2Pb

Crystalline MnTl2Pb at its relaxed geometry (PBE, the Alexandria database).

Theoretical density, kg/m³: 10515
Space group: Cmmm (65)

```
4
Lattice="5.652 0.095 0.000 -1.867 5.335 0.000 0.000 0.000 3.493" Properties=species:S:1:pos:R:3 pbc="T T T"
Mn 2.826 0.048 1.747
Pb -0.933 2.668 1.747
Tl 0.000 0.000 0.000
Tl 1.893 2.715 0.000
```

---

Entry B
# MnTl2Pb

Crystalline MnTl2Pb at its relaxed geometry (PBE, the Alexandria database).

Theoretical density, kg/m³: 10584
Space group: I-4m2 (119)

```
4
Lattice="5.769 -0.039 0.000 1.922 5.439 0.000 -3.845 -2.700 3.347" Properties=species:S:1:pos:R:3 pbc="T T T"
Mn 3.845 2.700 0.000
Pb 2.884 -0.019 1.673
Tl 0.000 0.000 0.000
Tl 0.961 2.720 1.673
```

---

Which of them is most stable? Easy: entry B.